Na2YMg2: relaxed, PBE-GGA.

Unit cell a=4.305 b=4.305 c=8.504 alpha=75.34 beta=75.34 gamma=90.00
Atoms (fractional coordinates):
Y 0.000 0.000 0.000
Na 0.750 0.250 0.500
Na 0.250 0.750 0.500
Mg 0.408 0.408 0.184
Mg 0.592 0.592 0.816

DFT formation energy, meV/atom: 185
Final energy, eV/atom: -2.274
SG: No. 139
Energy above the lowest structure with this stoichiometry, meV per atom: 0
Crystal system: tetragonal
V, A^3/atom: 29.4
M_tot, μB per cell: 0.00
DOS(E_F), states/eV per atom: 0.683